# LiSm3Sn2, optimized geometry, DFT PBE
data_LiSm3Sn2
_symmetry_space_group_name_H-M 'P 1'
_symmetry_Int_Tables_number 1
_cell_length_a 9.545
_cell_length_b 9.545
_cell_length_c 9.545
_cell_angle_alpha 140.47
_cell_angle_beta 56.81
_cell_angle_gamma 140.91
loop_
_symmetry_equiv_pos_as_xyz
'x,y,z'
loop_
_atom_site_label
_atom_site_fract_x
_atom_site_fract_y
_atom_site_fract_z
_atom_site_occupancy
Li1 0.250 0.250 0.000 1
Li2 0.750 0.750 0.000 1
Sm1 0.178 0.247 0.425 1
Sm2 0.250 0.750 0.500 1
Sm3 0.322 0.747 0.068 1
Sm4 0.678 0.253 0.932 1
Sm5 0.750 0.250 0.500 1
Sm6 0.822 0.753 0.575 1
Sn1 0.131 0.760 0.891 1
Sn2 0.369 0.260 0.629 1
Sn3 0.631 0.740 0.371 1
Sn4 0.869 0.240 0.109 1
# Formation energy from the elements (eV/atom): -0.53
# Uncorrected energy (eV for the cell shown): -54.5
# SG: Ibam (72)
# Total magnetization (Bohr magnetons per cell): 3.8


# Li4Sm3Sn4, optimized geometry, DFT PBE
data_Li4Sm3Sn4
_symmetry_space_group_name_H-M 'P 1'
_symmetry_Int_Tables_number 1
_cell_length_a 8.775
_cell_length_b 8.775
_cell_length_c 8.775
_cell_angle_alpha 149.23
_cell_angle_beta 131.70
_cell_angle_gamma 58.37
loop_
_symmetry_equiv_pos_as_xyz
'x,y,z'
loop_
_atom_site_label
_atom_site_fract_x
_atom_site_fract_y
_atom_site_fract_z
_atom_site_occupancy
Li1 0.017 0.827 0.189 1
Li2 0.362 0.173 0.189 1
Li3 0.638 0.827 0.811 1
Li4 0.983 0.173 0.811 1
Sm1 0.000 0.500 0.500 1
Sm2 0.371 0.371 0.000 1
Sm3 0.629 0.629 0.000 1
Sn1 0.215 0.715 0.500 1
Sn2 0.300 0.000 0.300 1
Sn3 0.700 0.000 0.700 1
Sn4 0.785 0.285 0.500 1
# Formation energy from the elements (eV/atom): -0.64
# Uncorrected energy (eV for the cell shown): -44.9
# SG: Immm (71)
# Total magnetization (Bohr magnetons per cell): 0.0


# LiSmSn, optimized geometry, DFT PBE
data_LiSmSn
_symmetry_space_group_name_H-M 'P 1'
_symmetry_Int_Tables_number 1
_cell_length_a 4.748
_cell_length_b 4.748
_cell_length_c 7.539
_cell_angle_alpha 90.00
_cell_angle_beta 90.00
_cell_angle_gamma 120.00
loop_
_symmetry_equiv_pos_as_xyz
'x,y,z'
loop_
_atom_site_label
_atom_site_fract_x
_atom_site_fract_y
_atom_site_fract_z
_atom_site_occupancy
Li1 0.333 0.667 0.250 1
Li2 0.667 0.333 0.750 1
Sm1 0.000 0.000 0.000 1
Sm2 0.000 0.000 0.500 1
Sn1 0.333 0.667 0.750 1
Sn2 0.667 0.333 0.250 1
# Formation energy from the elements (eV/atom): -0.66
# Uncorrected energy (eV for the cell shown): -25.2
# SG: P6_3/mmc (194)
# Total magnetization (Bohr magnetons per cell): 0.0


# Li2Sm5Sn5, optimized geometry, DFT PBE
data_Li2Sm5Sn5
_symmetry_space_group_name_H-M 'P 1'
_symmetry_Int_Tables_number 1
_cell_length_a 6.469
_cell_length_b 6.469
_cell_length_c 12.644
_cell_angle_alpha 112.78
_cell_angle_beta 112.78
_cell_angle_gamma 42.72
loop_
_symmetry_equiv_pos_as_xyz
'x,y,z'
loop_
_atom_site_label
_atom_site_fract_x
_atom_site_fract_y
_atom_site_fract_z
_atom_site_occupancy
Li1 0.215 0.215 0.272 1
Li2 0.785 0.785 0.728 1
Sm1 0.108 0.108 0.775 1
Sm2 0.152 0.152 0.489 1
Sm3 0.500 0.500 0.000 1
Sm4 0.848 0.848 0.511 1
Sm5 0.892 0.892 0.225 1
Sn1 0.213 0.213 0.056 1
Sn2 0.396 0.396 0.719 1
Sn3 0.500 0.500 0.500 1
Sn4 0.604 0.604 0.281 1
Sn5 0.787 0.787 0.944 1
# Formation energy from the elements (eV/atom): -0.53
# Uncorrected energy (eV for the cell shown): -53.8
# SG: C2/m (12)
# Total magnetization (Bohr magnetons per cell): 0.0